First-principles (PBE-GGA) data for an optimized crystal structure of PmSm3Dy2, as listed in Alexandria.

Properties
- Spin magnetization: 0.000 μB per formula unit
- Calculated density: 7.7 g/cm³
- Symmetry: P-1
- ΔE to the lowest computed polymorph: 0.000 eV/atom

Unit cell a=7.2017 b=6.2397 c=11.9429 alpha=110.33 beta=90.08 gamma=125.23
Positions (direct):
Pm 0.1246 0.0000 0.2500
Pm 0.8754 0.0000 0.7500
Sm 0.3756 0.0001 0.7500
Sm 0.6244 0.9999 0.2500
Sm 0.9587 0.6669 0.9167
Sm 0.2919 0.3332 0.5833
Sm 0.7081 0.6668 0.4167
Sm 0.0413 0.3331 0.0833
Dy 0.2084 0.6673 0.4172
Dy 0.4588 0.6672 0.9172
Dy 0.5412 0.3328 0.0828
Dy 0.7916 0.3327 0.5828